No. 1
A plane-wave DFT calculation with GGA-PBEsol was carried out for a relaxed La2SbAs crystal.

- Space group: P4/mmm (123)
- Crystal system: tetragonal
- Formation energy (no corrections): -1.351 eV/atom

Cell: 4.4452 4.4452 6.2881 Å, 90.00 90.00 90.00°
With the nearest neighbours (Å) after each atom.
Sites, in units of the cell vectors:
La 0.0000 0.0000 0.0000  4 As 3.14, 2 Sb 3.14
La 0.5000 0.5000 0.5000  4 Sb 3.14, 2 As 3.14
Sb 0.0000 0.0000 0.5000  6 La 3.14
As 0.5000 0.5000 0.0000  6 La 3.14

---

No. 2
A plane-wave DFT calculation with GGA-PBEsol was carried out for a relaxed LaSb2As crystal.

- Space group: R-3m (166)
- Crystal system: trigonal
- Formation energy (no corrections): -0.339 eV/atom

Cell: 7.7390 7.7390 7.7390 Å, 32.06 32.06 32.06°
With the nearest neighbours (Å) after each atom.
Sites, in units of the cell vectors:
La 0.0000 0.0000 0.0000  6 Sb 3.22
Sb 0.2394 0.2394 0.2394  3 As 2.94, 3 La 3.22
Sb 0.7606 0.7606 0.7606  3 As 2.94, 3 La 3.22
As 0.5000 0.5000 0.5000  6 Sb 2.94

---

No. 3
A plane-wave DFT calculation with GGA-PBEsol was carried out for a relaxed La2SbAs crystal.

- Space group: Fm-3m (225)
- Crystal system: cubic
- Formation energy (no corrections): -1.082 eV/atom

Cell: 5.3759 5.3759 5.3759 Å, 60.00 60.00 60.00°
With the nearest neighbours (Å) after each atom.
Sites, in units of the cell vectors:
La 0.2500 0.2500 0.2500  4 As 3.29, 4 Sb 3.29
La 0.7500 0.7500 0.7500  4 As 3.29, 4 Sb 3.29
Sb 0.0000 0.0000 0.0000  8 La 3.29
As 0.5000 0.5000 0.5000  8 La 3.29

---

No. 4
A plane-wave DFT calculation with GGA-PBEsol was carried out for a relaxed LaSbAsSe2 crystal.

- Space group: P4/mmm (123)
- Crystal system: tetragonal
- Formation energy (no corrections): -0.377 eV/atom

Cell: 5.2151 5.2151 5.1452 Å, 90.00 90.00 90.00°
With the nearest neighbours (Å) after each atom.
Sites, in units of the cell vectors:
La 0.0000 0.0000 0.0000  8 Se 3.66, 4 As 3.69
Sb 0.5000 0.5000 0.5000  2 As 2.57, 4 Se 2.61
As 0.5000 0.5000 0.0000  2 Sb 2.57
Se 0.0000 0.5000 0.5000  2 Sb 2.61
Se 0.5000 0.0000 0.5000  2 Sb 2.61

---

No. 5
A plane-wave DFT calculation with GGA-PBEsol was carried out for a relaxed LaSc3As crystal.

- Space group: Pm-3m (221)
- Relative energy among the computed polymorphs: 115.5 kJ/mol of atoms
- Crystal system: cubic

Cell: 5.0541 5.0541 5.0541 Å, 90.00 90.00 90.00°
With the nearest neighbours (Å) after each atom.
Sites, in units of the cell vectors:
La 0.0000 0.0000 0.0000  6 Sc 2.53
Sc 0.0000 0.0000 0.5000  2 La 2.53
Sc 0.0000 0.5000 0.0000  2 La 2.53
Sc 0.5000 0.0000 0.0000  2 La 2.53
As 0.5000 0.5000 0.5000  12 Sc 3.57

---

No. 6
A plane-wave DFT calculation with GGA-PBEsol was carried out for a relaxed LaSc3As crystal.

- Space group: Pm-3m (221)
- Relative energy among the computed polymorphs: 0.0 kJ/mol of atoms
- Crystal system: cubic

Cell: 5.1110 5.1110 5.1110 Å, 90.00 90.00 90.00°
With the nearest neighbours (Å) after each atom.
Sites, in units of the cell vectors:
La 0.0000 0.0000 0.0000  12 Sc 3.61
Sc 0.0000 0.5000 0.5000  2 As 2.56
Sc 0.5000 0.0000 0.5000  2 As 2.56
Sc 0.5000 0.5000 0.0000  2 As 2.56
As 0.5000 0.5000 0.5000  6 Sc 2.56

---

No. 7
A plane-wave DFT calculation with GGA-PBEsol was carried out for a relaxed La2AsSe crystal.

- Space group: R-3m (166)
- Relative energy among the computed polymorphs: 0.0 kJ/mol of atoms
- Crystal system: trigonal
- Formation energy (no corrections): -1.834 eV/atom

Cell: 7.4223 7.4223 7.4223 Å, 33.61 33.61 33.61°
With the nearest neighbours (Å) after each atom.
Sites, in units of the cell vectors:
La 0.2477 0.2477 0.2477  3 As 3.01, 3 Se 3.06
La 0.7523 0.7523 0.7523  3 As 3.01, 3 Se 3.06
As 0.5000 0.5000 0.5000  6 La 3.01
Se 0.0000 0.0000 0.0000  6 La 3.06

---

No. 8
A plane-wave DFT calculation with GGA-PBEsol was carried out for a relaxed La2AsSe crystal.

- Space group: P4/mmm (123)
- Relative energy among the computed polymorphs: 0.4 kJ/mol of atoms
- Crystal system: tetragonal
- Formation energy (no corrections): -1.830 eV/atom

Cell: 4.2876 4.2876 6.0489 Å, 90.00 90.00 90.00°
With the nearest neighbours (Å) after each atom.
Sites, in units of the cell vectors:
La 0.0000 0.0000 0.0000  2 As 3.02, 4 Se 3.03
La 0.5000 0.5000 0.5000  2 Se 3.02, 4 As 3.03
As 0.0000 0.0000 0.5000  6 La 3.02-3.03
Se 0.5000 0.5000 0.0000  6 La 3.02-3.03

---

No. 9
A plane-wave DFT calculation with GGA-PBEsol was carried out for a relaxed La2AsSe crystal.

- Space group: I-4m2 (119)
- Relative energy among the computed polymorphs: 49.6 kJ/mol of atoms
- Crystal system: tetragonal
- Formation energy (no corrections): -1.319 eV/atom

Cell: 6.5924 6.5924 6.5924 Å, 142.49 142.49 54.09°
With the nearest neighbours (Å) after each atom.
Sites, in units of the cell vectors:
La 0.0000 0.0000 0.0000  4 Se 3.00
La 0.7500 0.2500 0.5000  4 As 3.00
As 0.2500 0.7500 0.5000  4 La 3.00
Se 0.5000 0.5000 0.0000  4 La 3.00

---

No. 10
A plane-wave DFT calculation with GGA-PBEsol was carried out for a relaxed La2TcAsSe crystal.

- Space group: P4/mmm (123)
- Crystal system: tetragonal
- Formation energy (no corrections): 0.502 eV/atom

Cell: 5.6150 5.6150 4.8846 Å, 90.00 90.00 90.00°
With the nearest neighbours (Å) after each atom.
Sites, in units of the cell vectors:
La 0.0000 0.5000 0.0000  2 As 2.81
La 0.5000 0.0000 0.0000  2 As 2.81
Tc 0.0000 0.0000 0.5000  8 La 3.72, 4 Se 3.97
As 0.5000 0.5000 0.0000  2 Se 2.44
Se 0.5000 0.5000 0.5000  2 As 2.44

---

No. 11
A plane-wave DFT calculation with GGA-PBEsol was carried out for a relaxed LaTiAs2Se crystal.

- Space group: P4/mmm (123)
- Crystal system: tetragonal
- Formation energy (no corrections): -0.898 eV/atom

Cell: 4.7707 4.7707 5.0647 Å, 90.00 90.00 90.00°
With the nearest neighbours (Å) after each atom.
Sites, in units of the cell vectors:
La 0.0000 0.0000 0.0000  4 Se 3.37, 8 As 3.48
Ti 0.5000 0.5000 0.5000  4 As 2.39, 2 Se 2.53
As 0.0000 0.5000 0.5000  2 Ti 2.39
As 0.5000 0.0000 0.5000  2 Ti 2.39
Se 0.5000 0.5000 0.0000  2 Ti 2.53

---

No. 12
A plane-wave DFT calculation with GGA-PBEsol was carried out for a relaxed LaSi2As crystal.

- Space group: I-4m2 (119)
- Crystal system: tetragonal
- Formation energy (no corrections): -0.260 eV/atom

Cell: 5.2821 5.2821 5.2821 Å, 131.60 131.60 70.86°
With the nearest neighbours (Å) after each atom.
Sites, in units of the cell vectors:
La 0.0000 0.0000 0.0000  4 As 3.05, 8 Si 3.05-3.06
Si 0.5000 0.5000 0.0000  4 Si 3.05, 4 As 3.05, 4 La 3.06
Si 0.7500 0.2500 0.5000  4 Si 3.05, 4 La 3.05, 4 As 3.06
As 0.2500 0.7500 0.5000  8 Si 3.05-3.06, 4 La 3.05

---

No. 13
A plane-wave DFT calculation with GGA-PBEsol was carried out for a relaxed LaSiAs2 crystal.

- Space group: R-3m (166)
- Crystal system: trigonal
- Formation energy (no corrections): -0.415 eV/atom

Cell: 7.2882 7.2882 7.2882 Å, 30.61 30.61 30.61°
With the nearest neighbours (Å) after each atom.
Sites, in units of the cell vectors:
La 0.0000 0.0000 0.0000  6 As 3.04
Si 0.5000 0.5000 0.5000  6 As 2.62
As 0.2337 0.2337 0.2337  3 Si 2.62
As 0.7663 0.7663 0.7663  3 Si 2.62

---

No. 14
A plane-wave DFT calculation with GGA-PBEsol was carried out for a relaxed LaSi2As crystal.

- Space group: R3m (160)
- Crystal system: trigonal
- Formation energy (no corrections): -0.401 eV/atom

Cell: 5.5645 5.5645 5.5645 Å, 46.37 46.37 46.37°
With the nearest neighbours (Å) after each atom.
Sites, in units of the cell vectors:
La 0.0000 0.0000 0.0000  4 As 3.09-3.14, 7 Si 3.10-3.40
Si 0.2088 0.2088 0.2088  3 Si 2.56, 3 As 2.82
Si 0.5136 0.5136 0.5136  3 Si 2.56, 3 As 2.66
As 0.7919 0.7919 0.7919  6 Si 2.66-2.82

---

No. 15
A plane-wave DFT calculation with GGA-PBEsol was carried out for a relaxed LaSiAs2 crystal.

- Space group: I-42d (122)
- Crystal system: tetragonal
- Formation energy (no corrections): -0.563 eV/atom

Cell: 6.1855 6.1855 6.1855 Å, 109.17 109.17 110.07°
With the nearest neighbours (Å) after each atom.
Sites, in units of the cell vectors:
La 0.0000 0.0000 0.0000  4 As 3.07
La 0.7500 0.2500 0.5000  4 As 3.07
Si 0.2500 0.7500 0.5000  4 As 2.36
Si 0.5000 0.5000 0.0000  4 As 2.36
As 0.2001 0.6250 0.0751  2 Si 2.36
As 0.3750 0.4501 0.5751  2 Si 2.36
As 0.5499 0.1250 0.9249  2 Si 2.36
As 0.8750 0.7999 0.4249  2 Si 2.36